(1)
Mo2RuRh | GGA-PBE | optimized geometry

The structure belongs to space group P4mm (No. 99); the cell edges are 2.757, 2.757 and 7.912 Å and the angles 90.00°, 90.00° and 90.00°. Symmetry generates all atoms from Mo at (0.000, 0.000, 0.000), Mo at (0.500, 0.500, 0.272), Ru at (0.500, 0.500, 0.764) and Rh at (0.000, 0.000, 0.514).

The calculation puts the formation energy at 0.05 eV/atom.

(2)
Zn2PCl | GGA-PBE | optimized geometry

The structure belongs to space group P4/mmm (No. 123); the cell edges are 3.734, 3.734 and 5.098 Å and the angles 90.00°, 90.00° and 90.00°. Symmetry generates all atoms from Zn at (0.000, 0.000, 0.000), Zn at (0.500, 0.500, 0.500), P at (0.000, 0.000, 0.500) and Cl at (0.500, 0.500, 0.000).

Its uncorrected energy is -2.6709 eV per atom.

(3)
Be2ZnSi | GGA-PBE | optimized geometry

The structure belongs to space group R-3m (No. 166, hexagonal axes); the cell edges are 2.6945, 2.6945 and 22.2049 Å and the angles 90.00°, 90.00° and 120.00°. Symmetry generates all atoms from Be at (0.0000, 0.0000, 0.2477), Zn at (0.0000, 0.0000, 0.0000) and Si at (0.0000, 0.0000, 0.5000).

Its uncorrected energy is -3.1973 eV per atom.